Here is a crystal of La2YTl2 relaxed with PBEsol from Alexandria. Energies are from SCAN.

Unit cell a=8.154 b=8.154 c=4.671 alpha=90.00 beta=90.00 gamma=90.00
Space group P4/mbm (No. 127)
Symmetry-distinct sites (fractional):
La (0.168, 0.332, 0.000)
Y (0.000, 0.000, 0.500)
Tl (0.131, 0.631, 0.500)

Results
Density of states at the Fermi level = 5.3 states/eV/f.u.
Energy relative to the elements = -3.0 eV/f.u.
Electronic total energy = -52.357 eV/atom
Density = 8.3 Mg/m³

---

Here is a crystal of LaTlZn relaxed with PBEsol from Alexandria. Energies are from SCAN.

Unit cell a=6.801 b=6.801 c=6.801 alpha=90.00 beta=90.00 gamma=90.00
Space group F-43m (No. 216)
Symmetry-distinct sites (fractional):
La (0.000, 0.000, 0.000)
Tl (0.000, 0.000, 0.500)
Zn (0.250, 0.250, 0.250)

Results
Density of states at the Fermi level = 0.3 states/eV/f.u.
Energy relative to the elements = -1.6 eV/f.u.
Electronic total energy = -43.521 eV/atom
Density = 8.6 Mg/m³

---

Here is a crystal of La2TlZn relaxed with PBEsol from Alexandria. Energies are from SCAN.

Unit cell a=3.773 b=5.248 c=10.776 alpha=90.00 beta=90.00 gamma=90.00
Space group Imm2 (No. 44)
Symmetry-distinct sites (fractional):
La (0.000, 0.000, 0.000)
La (0.000, 0.500, 0.221)
Tl (0.000, 0.500, 0.783)
Zn (0.000, 0.000, 0.475)

Results
Density of states at the Fermi level = 3.7 states/eV/f.u.
Energy relative to the elements = -1.8 eV/f.u.
Distance to the lowest polymorph of the same formula = 62 meV/atom
Electronic total energy = -43.465 eV/atom
Density = 8.5 Mg/m³

---

Here is a crystal of La2TlZn relaxed with PBEsol from Alexandria. Energies are from SCAN.

Unit cell a=3.826 b=5.138 c=5.478 alpha=90.00 beta=90.00 gamma=90.00
Space group Pmm2 (No. 25)
Symmetry-distinct sites (fractional):
La (0.000, 0.000, 0.000)
La (0.000, 0.500, 0.397)
Tl (0.500, 0.500, 0.874)
Zn (0.500, 0.000, 0.512)

Results
Density of states at the Fermi level = 3.3 states/eV/f.u.
Energy relative to the elements = -2.0 eV/f.u.
Distance to the lowest polymorph of the same formula = 16 meV/atom
Electronic total energy = -43.511 eV/atom
Density = 8.4 Mg/m³

---

Here is a crystal of La2TlZn relaxed with PBEsol from Alexandria. Energies are from SCAN.

Unit cell a=7.635 b=7.635 c=7.635 alpha=90.00 beta=90.00 gamma=90.00
Space group Fm-3m (No. 225)
Symmetry-distinct sites (fractional):
La (0.250, 0.250, 0.250)
Tl (0.000, 0.000, 0.000)
Zn (0.000, 0.000, 0.500)

Results
Density of states at the Fermi level = 4.6 states/eV/f.u.
Energy relative to the elements = -2.0 eV/f.u.
Distance to the lowest polymorph of the same formula = 3 meV/atom
Electronic total energy = -43.524 eV/atom
Density = 8.2 Mg/m³

---

Here is a crystal of LaTlZn relaxed with PBEsol from Alexandria. Energies are from SCAN.

Unit cell a=4.7500 b=4.7500 c=3.8344 alpha=90.00 beta=90.00 gamma=120.00
Space group P-6m2 (No. 187)
Symmetry-distinct sites (fractional):
La (0.0000, 0.0000, 0.0000)
Tl (0.3333, 0.6667, 0.5000)
Zn (0.6667, 0.3333, 0.5000)

Results
Density of states at the Fermi level = 1.6 states/eV/f.u.
Energy relative to the elements = -1.5 eV/f.u.
Electronic total energy = -43.509 eV/atom
Density = 9.1 Mg/m³

---

Here is a crystal of La2TlZn relaxed with PBEsol from Alexandria. Energies are from SCAN.

Unit cell a=3.770 b=3.770 c=7.702 alpha=90.00 beta=90.00 gamma=90.00
Space group P4/mmm (No. 123)
Symmetry-distinct sites (fractional):
La (0.000, 0.000, 0.226)
Tl (0.500, 0.500, 0.500)
Zn (0.500, 0.500, 0.000)

Results
Density of states at the Fermi level = 3.5 states/eV/f.u.
Energy relative to the elements = -2.0 eV/f.u.
Distance to the lowest polymorph of the same formula = 0 meV/atom
Electronic total energy = -43.527 eV/atom
Density = 8.3 Mg/m³

---

Here is a crystal of LaTlZn relaxed with PBEsol from Alexandria. Energies are from SCAN.

Unit cell a=4.7389 b=4.7389 c=7.7073 alpha=90.00 beta=90.00 gamma=120.00
Space group P6_3/mmc (No. 194)
Symmetry-distinct sites (fractional):
La (0.0000, 0.0000, 0.0000)
Tl (0.3333, 0.6667, 0.2500)
Zn (0.3333, 0.6667, 0.7500)

Results
Density of states at the Fermi level = 1.6 states/eV/f.u.
Energy relative to the elements = -1.6 eV/f.u.
Electronic total energy = -43.535 eV/atom
Density = 9.1 Mg/m³

---

Here is a crystal of La2ZrTl relaxed with PBEsol from Alexandria. Energies are from SCAN.

Unit cell a=3.551 b=3.551 c=8.657 alpha=90.00 beta=90.00 gamma=90.00
Space group P4mm (No. 99)
Symmetry-distinct sites (fractional):
La (0.000, 0.000, 0.000)
La (0.500, 0.500, 0.285)
Zr (0.500, 0.500, 0.749)
Tl (0.000, 0.000, 0.544)

Results
Density of states at the Fermi level = 2.6 states/eV/f.u.
Energy relative to the elements = -0.5 eV/f.u.
Distance to the lowest polymorph of the same formula = 0 meV/atom
Electronic total energy = -47.450 eV/atom
Density = 8.7 Mg/m³

---

Here is a crystal of La2ZrTl relaxed with PBEsol from Alexandria. Energies are from SCAN.

Unit cell a=5.692 b=5.692 c=3.488 alpha=90.00 beta=90.00 gamma=90.00
Space group P4/mmm (No. 123)
Symmetry-distinct sites (fractional):
La (0.000, 0.500, 0.000)
Zr (0.000, 0.000, 0.500)
Tl (0.500, 0.500, 0.500)

Results
Density of states at the Fermi level = 4.9 states/eV/f.u.
Energy relative to the elements = -0.4 eV/f.u.
Distance to the lowest polymorph of the same formula = 29 meV/atom
Electronic total energy = -47.421 eV/atom
Density = 8.4 Mg/m³

---

Here is a crystal of LaZrTl relaxed with PBEsol from Alexandria. Energies are from SCAN.

Unit cell a=3.293 b=3.293 c=14.434 alpha=90.00 beta=90.00 gamma=90.00
Space group I4mm (No. 107)
Symmetry-distinct sites (fractional):
La (0.000, 0.000, 0.000)
Zr (0.000, 0.000, 0.318)
Tl (0.000, 0.000, 0.674)

Results
Density of states at the Fermi level = 3.3 states/eV/f.u.
Energy relative to the elements = -0.4 eV/f.u.
Electronic total energy = -48.838 eV/atom
Density = 9.2 Mg/m³

---

Here is a crystal of La2ZrTl relaxed with PBEsol from Alexandria. Energies are from SCAN.

Unit cell a=11.411 b=3.349 c=5.709 alpha=90.00 beta=96.46 gamma=90.00
Space group C2/m (No. 12)
Symmetry-distinct sites (fractional):
La (0.240, 0.000, 0.238)
Zr (0.000, 0.000, 0.500)
Tl (0.000, 0.500, 0.000)

Results
Density of states at the Fermi level = 3.8 states/eV/f.u.
Energy relative to the elements = 0.0 eV/f.u.
Distance to the lowest polymorph of the same formula = 126 meV/atom
Electronic total energy = -47.325 eV/atom
Density = 8.8 Mg/m³

---

Here is a crystal of La2ZrTl relaxed with PBEsol from Alexandria. Energies are from SCAN.

Unit cell a=7.705 b=7.705 c=7.705 alpha=90.00 beta=90.00 gamma=90.00
Space group Fm-3m (No. 225)
Symmetry-distinct sites (fractional):
La (0.250, 0.250, 0.250)
Zr (0.000, 0.000, 0.000)
Tl (0.000, 0.000, 0.500)

Results
Density of states at the Fermi level = 3.7 states/eV/f.u.
Energy relative to the elements = -0.4 eV/f.u.
Distance to the lowest polymorph of the same formula = 36 meV/atom
Electronic total energy = -47.415 eV/atom
Density = 8.3 Mg/m³

---

Here is a crystal of La3Tm relaxed with PBEsol from Alexandria. Energies are from SCAN.

Unit cell a=5.059 b=5.059 c=10.173 alpha=90.00 beta=90.00 gamma=90.00
Space group I4/mmm (No. 139)
Symmetry-distinct sites (fractional):
La (0.000, 0.000, 0.000)
La (0.000, 0.500, 0.250)
Tm (0.000, 0.000, 0.500)

Results
Density of states at the Fermi level = 5.8 states/eV/f.u.
Energy relative to the elements = 0.1 eV/f.u.
Electronic total energy = -45.266 eV/atom
Density = 7.5 Mg/m³

---

Here is a crystal of LaW3 relaxed with PBEsol from Alexandria. Energies are from SCAN.

Unit cell a=2.8747 b=2.8747 c=10.1819 alpha=90.00 beta=90.00 gamma=120.00
Space group P-6m2 (No. 187)
Symmetry-distinct sites (fractional):
La (0.0000, 0.0000, 0.0000)
W (0.0000, 0.0000, 0.5000)
W (0.6667, 0.3333, 0.2753)

Results
Density of states at the Fermi level = 4.9 states/eV/f.u.
Energy relative to the elements = 3.9 eV/f.u.
Distance to the lowest polymorph of the same formula = 446 meV/atom
Electronic total energy = -62.060 eV/atom
Density = 15.7 Mg/m³